Compound: PmTlCdCl6
Source: Alexandria via LeMat-Bulk
Functional: PBE
Structure: optimized geometry Values from VASP.

Calculated values
The mass density is 3717 kg/m3. The value obtained for the volume is 603 Å³/cell. Its raw formation energy is -1.6131 eV/atom. The calculation puts the magnetization at 0.0 μB/cell. The calculation puts the density of states at the Fermi level at 0.00 states/eV per cell.

Structure (Quantum ESPRESSO input):
```
&SYSTEM
  ibrav = 0, nat = 18, ntyp = 4
/
ATOMIC_SPECIES
Pm 145.00 Pm.upf
Tl 204.38 Tl.upf
Cd 112.41 Cd.upf
Cl 35.45 Cl.upf
CELL_PARAMETERS angstrom
-3.254 5.591 2.821
-1.410 -6.485 2.400
10.275 1.242 9.392
ATOMIC_POSITIONS angstrom
Pm -0.070 1.876 5.028
Pm 5.682 -1.528 9.584
Tl 0.000 0.000 0.000
Tl 5.138 0.621 4.696
Cd 0.544 -2.149 4.888
Cd 5.067 2.497 9.724
Cl -1.484 -0.428 4.589
Cl 0.886 -2.225 2.234
Cl 5.343 2.852 7.085
Cl 4.726 2.573 12.378
Cl 1.970 0.074 5.324
Cl 2.789 -3.608 4.915
Cl 6.775 4.553 9.874
Cl 0.269 -2.504 7.527
Cl 2.823 3.955 9.697
Cl -1.164 -4.205 4.738
Cl 3.642 0.274 9.288
Cl 7.096 0.775 10.023
```

Compound: PmTlCd2Cl8
Source: Alexandria via LeMat-Bulk
Functional: PBE
Structure: optimized geometry Values from VASP.

Calculated values
The mass density is 3689 kg/m3. The value obtained for the volume is 386 Å³/cell. Its raw formation energy is -1.4360 eV/atom. The calculation puts the magnetization at 0.0 μB/cell. The calculation puts the density of states at the Fermi level at 0.00 states/eV per cell.

Structure (Quantum ESPRESSO input):
```
&SYSTEM
  ibrav = 0, nat = 12, ntyp = 4
/
ATOMIC_SPECIES
Pm 145.00 Pm.upf
Tl 204.38 Tl.upf
Cd 112.41 Cd.upf
Cl 35.45 Cl.upf
CELL_PARAMETERS angstrom
6.558 0.453 0.529
0.496 6.570 0.498
0.685 0.673 9.107
ATOMIC_POSITIONS angstrom
Pm 0.000 0.000 0.000
Tl 0.343 0.337 4.554
Cd 3.659 3.662 6.995
Cd 4.080 4.034 3.139
Cl 1.842 5.270 2.498
Cl 5.171 5.051 1.041
Cl 5.183 1.720 2.534
Cl 5.898 2.426 7.637
Cl 2.568 2.645 9.093
Cl 2.557 5.976 7.600
Cl 5.139 5.024 5.232
Cl 2.601 2.672 4.902
```

Compound: Pr2CdCl8
Source: Alexandria via LeMat-Bulk
Functional: PBE
Structure: optimized geometry Values from VASP.

Calculated values
The mass density is 3351 kg/m3. The value obtained for the volume is 336 Å³/cell. Its raw formation energy is -1.9477 eV/atom. The calculation puts the magnetization at 0.0 μB/cell. The calculation puts the density of states at the Fermi level at 0.00 states/eV per cell.

Structure (Quantum ESPRESSO input):
```
&SYSTEM
  ibrav = 0, nat = 11, ntyp = 3
/
ATOMIC_SPECIES
Pr 140.91 Pr.upf
Cd 112.41 Cd.upf
Cl 35.45 Cl.upf
CELL_PARAMETERS angstrom
-1.367 3.668 -0.919
-4.699 -3.143 -5.556
-8.051 -3.614 6.348
ATOMIC_POSITIONS angstrom
Pr -5.887 -2.662 -1.868
Pr -8.231 -0.428 1.741
Cd -0.683 1.834 -0.459
Cl -4.907 -0.080 -1.815
Cl -6.780 -1.510 4.060
Cl -5.811 -1.905 1.038
Cl -3.920 -2.493 -4.120
Cl -8.307 -1.184 -1.165
Cl -7.338 -1.579 -4.187
Cl -9.211 -3.010 1.689
Cl -10.198 -0.597 3.993
```

Compound: Pr3CdCl
Source: Alexandria via LeMat-Bulk
Functional: PBE
Structure: optimized geometry Values from VASP.

Calculated values
The mass density is 5987 kg/m3. The value obtained for the volume is 158 Å³/cell. Its raw formation energy is -0.5218 eV/atom. The calculation puts the magnetization at 0.0 μB/cell. The calculation puts the density of states at the Fermi level at 3.95 states/eV per cell.

Structure (Quantum ESPRESSO input):
```
&SYSTEM
  ibrav = 0, nat = 5, ntyp = 3
/
ATOMIC_SPECIES
Pr 140.91 Pr.upf
Cl 35.45 Cl.upf
Cd 112.41 Cd.upf
CELL_PARAMETERS angstrom
-1.567 -5.176 0.114
5.169 -1.558 0.328
-0.281 0.204 5.398
ATOMIC_POSITIONS angstrom
Pr 2.585 -0.779 0.164
Pr -0.141 0.102 2.699
Pr -0.783 -2.588 0.057
Cl 0.000 0.000 0.000
Cd 1.661 -3.265 2.920
```